1.
SiTcTe after structural relaxation. Source: the Alexandria database, functional PBE.

a = 4.362 Å, b = 4.362 Å, c = 4.362 Å
α = 60.00°, β = 60.00°, γ = 60.00°
Positions (direct):
Si (0.000, 0.000, 0.000)
Tc (0.250, 0.250, 0.250)
Te (0.500, 0.500, 0.500)

Values from the calculation:
The calculation puts the energy above the most stable polymorph in this dataset at 0.153 eV per atom. The value obtained for the uncorrected formation energy is 0.25 eV per atom. For the total energy, the calculation gives -6.0652 eV/atom. The symmetry is F-43m.



2.
SiTcTe2 after structural relaxation. Source: the Alexandria database, functional PBE.

a = 3.326 Å, b = 3.326 Å, c = 7.245 Å
α = 90.00°, β = 90.00°, γ = 90.00°
Positions (direct):
Si (0.000, 0.000, 0.000)
Tc (0.000, 0.000, 0.500)
Te (0.500, 0.500, 0.271)
Te (0.500, 0.500, 0.729)

Values from the calculation:
The value obtained for the uncorrected formation energy is 0.45 eV per atom. For the total energy, the calculation gives -5.0707 eV/atom. The symmetry is P4/mmm.



3.
SiTcTe2 after structural relaxation. Source: the Alexandria database, functional PBE.

a = 6.629 Å, b = 6.629 Å, c = 6.629 Å
α = 152.35°, β = 138.76°, γ = 50.37°
Positions (direct):
Si (0.000, 0.000, 0.000)
Tc (0.169, 0.669, 0.500)
Te (0.360, 0.360, 0.000)
Te (0.643, 0.143, 0.500)

Values from the calculation:
The value obtained for the uncorrected formation energy is 0.37 eV per atom. For the total energy, the calculation gives -5.1464 eV/atom. The symmetry is Imm2.



4.
SiTcTe after structural relaxation. Source: the Alexandria database, functional PBE.

a = 7.064 Å, b = 6.791 Å, c = 3.062 Å
α = 82.28°, β = 72.28°, γ = 25.44°
Positions (direct):
Si (0.000, 0.000, 0.000)
Tc (0.629, 0.629, 0.371)
Te (0.299, 0.299, 0.701)

Values from the calculation:
The calculation puts the energy above the most stable polymorph in this dataset at 0.361 eV per atom. The value obtained for the uncorrected formation energy is 0.45 eV per atom. For the total energy, the calculation gives -5.8570 eV/atom. The symmetry is Fmm2.